Material: SrLaNiRh
Method: DFT, PBE
State: relaxed

```
SrLaNiRh
1.0
5.083 0.000 0.000
2.542 4.402 0.000
2.542 1.467 4.151
Sr La Ni Rh
1 1 1 1
direct
0.250 0.250 0.250 Sr
0.750 0.750 0.750 La
0.000 0.000 0.000 Ni
0.500 0.500 0.500 Rh
```

Summary:
- Crystal system: cubic
- Calculated volume: 92.9 Å³ per cell
- ΔE_f: -0.2134 eV per atom
- N(E_F): 3.937 states/eV per cell
- Space group: F-43m
- Magnetic moment: 0.00 μB/f.u.

***

Material: LaThNiRh
Method: DFT, PBE
State: relaxed

```
LaThNiRh
1.0
-1.179 -2.080 -4.420
-2.190 -4.521 -0.145
-4.815 -0.416 -1.376
La Ni Th Rh
1 1 1 1
direct
0.500 0.500 0.500 La
0.250 0.250 0.250 Ni
0.000 0.000 0.000 Th
0.750 0.750 0.750 Rh
```

Summary:
- Crystal system: cubic
- Calculated volume: 89.7 Å³ per cell
- ΔE_f: -0.4563 eV per atom
- Offset from the most stable computed form: 173 meV/atom
- N(E_F): 5.198 states/eV per cell
- Space group: F-43m
- Magnetic moment: 0.00 μB/f.u.

***

Material: LaThNiRh
Method: DFT, PBE
State: relaxed

```
LaThNiRh
1.0
3.864 0.000 0.000
0.000 4.195 0.000
-1.932 0.000 5.721
Rh Th La Ni
1 1 1 1
direct
0.406 0.000 0.812 Rh
0.871 0.500 0.741 Th
0.138 0.000 0.277 La
0.585 0.500 0.171 Ni
```

Summary:
- Crystal system: orthorhombic
- Calculated volume: 92.7 Å³ per cell
- ΔE_f: -0.6288 eV per atom
- Offset from the most stable computed form: 0 meV/atom
- N(E_F): 2.563 states/eV per cell
- Space group: Amm2
- Magnetic moment: 0.00 μB/f.u.

***

Material: La2UNi3Rh12
Method: DFT, PBE
State: relaxed

```
La2UNi3Rh12
1.0
-0.664 -5.522 -5.487
-4.289 -6.357 1.496
-6.840 -0.926 -3.661
Ni Rh La U
3 12 2 1
direct
0.000 0.000 0.500 Ni
0.500 0.000 0.000 Ni
0.000 0.500 0.000 Ni
0.633 0.633 0.120 Rh
0.865 0.388 0.865 Rh
0.880 0.367 0.367 Rh
0.135 0.135 0.612 Rh
0.367 0.880 0.367 Rh
0.612 0.135 0.135 Rh
0.135 0.612 0.135 Rh
0.633 0.120 0.633 Rh
0.388 0.865 0.865 Rh
0.367 0.367 0.880 Rh
0.120 0.633 0.633 Rh
0.865 0.865 0.388 Rh
0.391 0.391 0.391 La
0.609 0.609 0.609 La
0.000 0.000 0.000 U
```

Summary:
- Crystal system: trigonal
- Calculated volume: 343.6 Å³ per cell
- ΔE_f: 0.2302 eV per atom
- N(E_F): 24.581 states/eV per cell
- Space group: R-3m
- Magnetic moment: 0.01 μB/f.u.

***

Material: LaV2NiRh
Method: DFT, PBE
State: relaxed

```
LaV2NiRh
1.0
4.591 0.000 0.000
0.000 4.738 0.000
0.000 0.000 4.591
Rh V Ni La
1 2 1 1
direct
0.000 0.500 0.000 Rh
0.500 0.000 0.000 V
0.000 0.000 0.500 V
0.500 0.500 0.500 Ni
0.000 0.000 0.000 La
```

Summary:
- Crystal system: tetragonal
- Calculated volume: 99.9 Å³ per cell
- ΔE_f: 1.8275 eV per atom
- N(E_F): 6.257 states/eV per cell
- Space group: P4/mmm
- Magnetic moment: 2.57 μB/f.u.

***

Material: LaZn3NiRh
Method: DFT, PBE
State: relaxed

```
LaZn3NiRh
1.0
-3.815 0.243 -3.707
-1.183 -6.125 0.816
-3.658 4.479 4.058
Zn Ni La Rh
6 2 2 2
direct
0.000 0.294 0.000 Zn
0.500 0.294 0.000 Zn
0.750 0.863 0.726 Zn
0.000 0.706 0.000 Zn
0.500 0.706 0.000 Zn
0.250 0.137 0.274 Zn
0.750 0.063 0.126 Ni
0.250 0.937 0.874 Ni
0.250 0.723 0.446 La
0.750 0.277 0.554 La
0.250 0.348 0.697 Rh
0.750 0.652 0.303 Rh
```

Summary:
- Crystal system: orthorhombic
- Calculated volume: 211.9 Å³ per cell
- ΔE_f: -0.3517 eV per atom
- N(E_F): 4.026 states/eV per cell
- Space group: Cmcm
- Magnetic moment: 0.00 μB/f.u.

***

Material: LaZnNiRh3
Method: DFT, PBE
State: relaxed

```
LaZnNiRh3
1.0
-3.427 -3.099 3.314
-0.333 -4.234 -4.304
5.012 -0.690 4.538
Rh La Zn Ni
6 2 2 2
direct
0.000 0.288 0.000 Rh
0.500 0.712 0.000 Rh
0.750 0.864 0.728 Rh
0.000 0.712 0.000 Rh
0.500 0.288 0.000 Rh
0.250 0.136 0.272 Rh
0.250 0.710 0.420 La
0.750 0.290 0.580 La
0.250 0.349 0.698 Zn
0.750 0.651 0.302 Zn
0.250 0.917 0.834 Ni
0.750 0.083 0.166 Ni
```

Summary:
- Crystal system: orthorhombic
- Calculated volume: 209.3 Å³ per cell
- ΔE_f: -0.1845 eV per atom
- N(E_F): 14.704 states/eV per cell
- Space group: Cmcm
- Magnetic moment: 0.00 μB/f.u.

***

Material: La2NiRu
Method: DFT, PBE
State: relaxed

```
La2NiRu
1.0
-2.619 -0.181 3.180
2.933 -1.422 2.334
2.860 4.559 2.615
Ni Ru La
1 1 2
direct
0.000 0.696 0.482 Ni
0.500 0.552 0.772 Ru
0.000 0.987 0.901 La
0.500 0.265 0.344 La
```

Summary:
- Crystal system: monoclinic
- Calculated volume: 93.3 Å³ per cell
- ΔE_f: -0.2709 eV per atom
- N(E_F): 2.499 states/eV per cell
- Space group: Pm
- Magnetic moment: 0.00 μB/f.u.